Entry from the Alexandria database: TbPr2Sb3Pt4 after structural relaxation (PBE).

Computed properties:
The uncorrected formation energy comes out at -0.9503 eV/atom.

a = 4.546 Å, b = 4.546 Å, c = 11.458 Å
α = 90.00°, β = 90.00°, γ = 90.00°
Atoms (fractional coordinates):
1 Tb 0.000 0.000 0.000
2 Pr 0.000 0.500 0.714
3 Pr 0.500 0.000 0.286
4 Sb 0.000 0.500 0.370
5 Sb 0.500 0.000 0.630
6 Sb 0.500 0.500 0.000
7 Pt 0.000 0.000 0.500
8 Pt 0.000 0.500 0.144
9 Pt 0.500 0.000 0.856
10 Pt 0.500 0.500 0.500